First-principles (PBE+U) data for a geometry-optimized MnBePtF2 structure, as listed in Alexandria.

For the total energy, the calculation gives -4.14 eV per atom. The density of states at the Fermi level is 1.48 states/eV/f.u.

The structure belongs to space group P4/mmm (No. 123); the cell edges are 4.139, 4.139 and 5.376 Å and the angles 90.00°, 90.00° and 90.00°. The distinct sites, in fractional coordinates, are Mn at (0.000, 0.000, 0.000), Be at (0.500, 0.500, 0.000), Pt at (0.000, 0.000, 0.500) and F at (0.000, 0.500, 0.500).